Below is an optimized crystal structure of KZnRh2Se, with properties calculated at the PBE-GGA level.

```
5
Lattice="4.7978 0.0000 0.0000 0.0000 4.9707 0.0000 0.0000 0.0000 4.7978" Properties=species:S:1:pos:R:3 pbc="T T T"
Zn 0.0000 0.0000 0.0000
Rh 2.3989 0.0000 0.0000
Rh 0.0000 0.0000 2.3989
Se 0.0000 2.4853 0.0000
K 2.3989 2.4853 2.3989
```

Summary:
Space group: P4/mmm, No. 123
Uncorrected energy (eV/atom): -3.548


Below is an optimized crystal structure of NaCdAgBr4, with properties calculated at the PBE-GGA level.

```
14
Lattice="-7.1921 -4.4478 -1.0039 7.0799 -2.4262 -3.8546 -0.7027 -0.7465 8.3418" Properties=species:S:1:pos:R:3 pbc="T T T"
Br -2.3535 -5.1207 3.4308
Br -5.3703 -3.6506 1.3379
Br -2.0265 -4.7733 -0.4513
Br 4.5555 -3.9699 2.1454
Br 1.2116 -2.8472 3.9346
Br -1.9468 -1.5334 1.8157
Br 1.5386 -2.4998 0.0525
Br 1.1319 -6.0871 1.6676
Cd -0.4074 -3.8103 1.7417
Cd 3.1886 -1.5863 2.2436
Ag -0.9824 -5.9469 -2.7319
Ag 0.1675 -1.6736 6.2152
Na -3.5960 -2.2239 -0.5019
Na -3.9474 -2.5972 3.6690
```

Summary:
Space group: Imma, No. 74
Uncorrected energy (eV/atom): -2.584


Below is an optimized crystal structure of Na2MgTl, with properties calculated at the PBE-GGA level.

```
4
Lattice="-3.2631 0.9068 -2.2901 -2.4077 -1.9758 2.6483 -0.8588 5.7255 3.4907" Properties=species:S:1:pos:R:3 pbc="T T T"
Na -0.6499 4.3329 2.6416
Na -0.2089 1.3926 0.8490
Tl -2.8354 -0.5345 0.1791
Mg -3.2648 2.3282 1.9244
```

Summary:
Space group: P4/mmm, No. 123
Energy of formation (eV per formula unit): 0.0


Result set for total magnetic moment: 1.542 0.000 0.000 μB/f.u., one per record in the order listed.
Result set for volume: 114 424 113 Å³/cell, one per record in the order listed.